{
  "formula": "Ac2Sn2S7",
  "functional": "GGA-PBE",
  "state": "optimized geometry",
  "cell": [[4.825, -5.818, 0.000], [4.825, 5.818, 0.000], [-1.158, 0.000, 6.302]],
  "species": ["Ac", "Ac", "Sn", "Sn", "S", "S", "S", "S", "S", "S", "S"],
  "frac_coords": [[0.209, 0.791, 0.000], [0.791, 0.209, 0.000], [0.261, 0.261, 0.579], [0.739, 0.739, 0.421], [0.068, 0.419, 0.770], [0.091, 0.091, 0.254], [0.419, 0.068, 0.770], [0.500, 0.500, 0.500], [0.581, 0.932, 0.230], [0.909, 0.909, 0.746], [0.932, 0.581, 0.230]],
  "spacegroup": "C2/m (12)",
  "formation_energy_uncorrected_ev_per_atom": -1.066,
  "volume_a3_per_atom": 32.166,
  "e_tot_ev_per_atom": -5.17
}